No. 1
## TaTlNi2 (PBE)

Data for a relaxed structure of TaTlNi2.

```
4
Lattice="4.509 -1.528 0.000 4.509 1.528 0.000 -0.985 0.000 4.599" Properties=species:S:1:pos:R:3 pbc="T T T"
Ta 0.000 0.000 0.000
Tl 1.452 0.000 2.938
Ni 3.900 0.000 1.930
Ni 6.530 0.000 0.700
```

Properties
- N(E_F): 2.25 states/eV/f.u.
- Space-group type: No. 8
- VASP energy: -6.224 eV/atom
- Offset from the most stable computed form: 0.828 eV/f.u.



No. 2
## Li2MnRu (PBE)

Data for a relaxed structure of Li2MnRu.

```
4
Lattice="0.000 2.857 2.857 2.857 0.000 2.857 2.857 2.857 0.000" Properties=species:S:1:pos:R:3 pbc="T T T"
Li 1.429 1.429 1.429
Li 4.286 4.286 4.286
Mn 0.000 0.000 0.000
Ru 2.857 2.857 2.857
```

Properties
- N(E_F): 10.74 states/eV/f.u.
- Space-group type: No. 225
- VASP energy: -4.793 eV/atom
- Offset from the most stable computed form: 2.377 eV/f.u.